Entry 1:
## TaPtO2 (PBE)

Data for a relaxed TaPtO2 crystal.

Geometry as POSCAR:
```
TaPtO2
1.0
-0.5788 -3.7212 -1.4054
-3.5134 -1.8550 0.6102
-2.5082 -0.6177 -3.0798
Pt O Ta
1 2 1
direct
0.5000 0.5000 0.5000
0.2500 0.2500 0.2500
0.7500 0.7500 0.7500
0.0000 0.0000 0.0000
```

Computed properties:
SG: No. 225
Raw total energy: -7.273 eV per atom

Entry 2:
## Li2Tm3Au3 (PBE)

Data for a relaxed Li2Tm3Au3 crystal.

Geometry as POSCAR:
```
Li2Tm3Au3
1.0
-5.0085 -0.4055 2.3315
0.2347 -8.3917 -0.9554
3.0020 3.5333 7.0634
Au Tm Li
6 6 4
direct
0.7500 0.0000 0.6038
0.2500 0.0000 0.3962
0.7500 0.3962 0.3962
0.2500 0.3962 0.0000
0.2500 0.6038 0.6038
0.7500 0.6038 0.0000
0.2500 0.2519 0.2519
0.7500 0.7481 0.7481
0.2500 0.0000 0.7481
0.2500 0.7481 0.0000
0.7500 0.0000 0.2519
0.7500 0.2519 0.0000
0.5000 0.3333 0.6667
0.5000 0.6667 0.3333
0.0000 0.3333 0.6667
0.0000 0.6667 0.3333
```

Computed properties:
DFT formation energy: -528.8 kJ/mol of formula units
SG: No. 193

Entry 3:
## TcIrPt (PBE)

Data for a relaxed TcIrPt crystal.

Geometry as POSCAR:
```
TcIrPt
1.0
4.2164 0.0000 0.0000
2.1082 3.6515 0.0000
2.1082 1.2172 3.4426
Pt Ir Tc
1 1 1
direct
0.5000 0.5000 0.5000
0.0000 0.0000 0.0000
0.7500 0.7500 0.7500
```

Computed properties:
DFT formation energy: 135.9 kJ/mol of formula units
SG: No. 216